# AgTeMo2

A relaxed structure of AgTeMo2 (PBE-GGA, the Alexandria database).

a b c (Å): 4.6960 4.6960 3.1539
angles (deg): 90.00 90.00 90.00
Positions (direct):
Ag: 0.0000 0.0000 0.0000
Te: 0.5000 0.5000 0.0000
Mo: 0.0000 0.5000 0.5000
Mo: 0.5000 0.0000 0.5000

volume = 17.39 Å³/atom
VASP energy = -6.3102 eV/atom
density of states at the Fermi level = 0.933 states/eV/atom
raw formation energy = 0.60 eV per atom

# Ag2Te2Mo

A relaxed structure of Ag2Te2Mo (PBE-GGA, the Alexandria database).

a b c (Å): 7.3450 7.3450 7.3450
angles (deg): 144.92 144.92 50.45
Positions (direct):
Ag: 0.0982 0.0982 0.0000
Ag: 0.9018 0.9018 0.0000
Te: 0.2500 0.7500 0.5000
Te: 0.7500 0.2500 0.5000
Mo: 0.5000 0.5000 0.0000

volume = 26.05 Å³/atom
VASP energy = -3.6295 eV/atom
density of states at the Fermi level = 0.413 states/eV/atom
raw formation energy = 0.93 eV per atom
ΔE to the lowest computed polymorph = 344 meV per atom